This record from Alexandria describes a geometry-optimized TmGa2Cl5 structure. The functional is PBE.

```
data_TmGa2Cl5
_chemical_formula_sum 'Tm2 Ga4 Cl10'
_cell_length_a 7.322
_cell_length_b 9.752
_cell_length_c 8.979
_cell_angle_alpha 64.07
_cell_angle_beta 65.94
_cell_angle_gamma 67.95
_space_group_name_H-M_alt 'P 1'
_space_group_IT_number 1
loop_
_space_group_symop_operation_xyz
'x,y,z'
loop_
_atom_site_label
_atom_site_fract_x
_atom_site_fract_y
_atom_site_fract_z
Tm1 0.951 0.784 0.314
Tm2 0.951 0.284 0.814
Ga1 0.619 0.527 0.304
Ga2 0.283 0.041 0.325
Ga3 0.551 0.027 0.804
Ga4 0.350 0.541 0.825
Cl1 0.702 0.315 0.657
Cl2 0.994 0.604 0.152
Cl3 0.200 0.253 0.972
Cl4 0.327 0.815 0.157
Cl5 0.250 0.104 0.652
Cl6 0.575 0.753 0.472
Cl7 0.651 0.463 0.977
Cl8 0.909 0.963 0.477
Cl9 0.816 0.033 0.064
Cl10 0.086 0.533 0.564
```

Calculated values
- E_form (uncorrected) (eV per atom) = -1.493
- raw total energy (eV/atom) = -3.9626

***

This record from Alexandria describes a geometry-optimized TcPtAu3 structure. The functional is PBE.

```
data_TcPtAu3
_chemical_formula_sum 'Tc1 Pt1 Au3'
_cell_length_a 4.940
_cell_length_b 4.940
_cell_length_c 4.940
_cell_angle_alpha 90.00
_cell_angle_beta 90.00
_cell_angle_gamma 90.00
_space_group_name_H-M_alt 'P 1'
_space_group_IT_number 1
loop_
_space_group_symop_operation_xyz
'x,y,z'
loop_
_atom_site_label
_atom_site_fract_x
_atom_site_fract_y
_atom_site_fract_z
Au1 0.000 0.500 0.000
Au2 0.000 0.000 0.500
Au3 0.500 0.000 0.000
Tc1 0.000 0.000 0.000
Pt1 0.500 0.500 0.500
```

Calculated values
- DFT formation energy (meV per atom) = 1612
- raw total energy (eV/atom) = -3.6361

***

This record from Alexandria describes a geometry-optimized Mn6Ga3C2N structure. The functional is PBE.

```
data_Mn6Ga3C2N
_chemical_formula_sum 'Mn6 Ga3 C2 N1'
_cell_length_a 4.985
_cell_length_b 4.985
_cell_length_c 6.470
_cell_angle_alpha 97.46
_cell_angle_beta 97.46
_cell_angle_gamma 119.99
_space_group_name_H-M_alt 'P 1'
_space_group_IT_number 1
loop_
_space_group_symop_operation_xyz
'x,y,z'
loop_
_atom_site_label
_atom_site_fract_x
_atom_site_fract_y
_atom_site_fract_z
Mn1 0.944 0.612 0.833
Mn2 0.725 0.725 0.168
Mn3 0.056 0.388 0.167
Mn4 0.612 0.944 0.833
Mn5 0.275 0.275 0.832
Mn6 0.388 0.056 0.167
Ga1 0.168 0.832 0.500
Ga2 0.832 0.168 0.500
Ga3 0.500 0.500 0.500
C1 0.333 0.667 0.000
C2 0.667 0.333 0.000
N1 0.000 0.000 0.000
```

Calculated values
- E_form (uncorrected) (eV per atom) = -0.140
- raw total energy (eV/atom) = -7.7129

***

This record from Alexandria describes a geometry-optimized Dy12Zn6Pb structure. The functional is PBE.

```
data_Dy12Zn6Pb
_chemical_formula_sum 'Dy12 Zn6 Pb1'
_cell_length_a 8.686
_cell_length_b 8.686
_cell_length_c 8.686
_cell_angle_alpha 109.47
_cell_angle_beta 109.47
_cell_angle_gamma 109.47
_space_group_name_H-M_alt 'P 1'
_space_group_IT_number 1
loop_
_space_group_symop_operation_xyz
'x,y,z'
loop_
_atom_site_label
_atom_site_fract_x
_atom_site_fract_y
_atom_site_fract_z
Dy1 0.292 0.098 0.807
Dy2 0.292 0.485 0.193
Dy3 0.708 0.515 0.807
Dy4 0.708 0.902 0.193
Dy5 0.098 0.807 0.292
Dy6 0.485 0.193 0.292
Dy7 0.515 0.807 0.708
Dy8 0.902 0.193 0.708
Dy9 0.807 0.292 0.098
Dy10 0.193 0.292 0.485
Dy11 0.807 0.708 0.515
Dy12 0.193 0.708 0.902
Zn1 0.377 0.500 0.877
Zn2 0.623 0.500 0.123
Zn3 0.500 0.877 0.377
Zn4 0.500 0.123 0.623
Zn5 0.877 0.377 0.500
Zn6 0.123 0.623 0.500
Pb1 0.000 0.000 0.000
```

Calculated values
- DFT formation energy (meV per atom) = -211
- raw total energy (eV/atom) = -3.7153